Material: MoPNO2
Method: DFT, GGA+U
State: relaxed

Results
Theoretical density, g/cm³: 4.5
VASP energy, eV for the cell shown: -30.1

Lattice parameters (Å, degrees): 3.863 3.863 4.236 90.00 90.00 90.00
Space group P4/mmm (No. 123)
Symmetry-distinct sites (fractional):
1 Mo 0.000 0.000 0.000 x1
2 P 0.500 0.500 0.500 x1
3 N 0.000 0.000 0.500 x1
4 O 0.000 0.500 0.000 x2